## KIrRh2 (PBE)

Data for KIrRh2 after structural relaxation.

Output
Theoretical density (g/cm³): 9.841
Calculated volume (Å³ per atom): 18.4
M_tot (μB per formula unit): 0.0
E_form (meV/atom): 713

Cell lengths 2.724, 5.233, 10.348 Å; angles 90.00, 90.00, 90.00 degrees
Space group Immm (No. 71)
Unique sites:
K  0.000  0.000  0.000
Ir  0.000  0.000  0.500
Rh  0.000  0.500  0.213

## KIrRh2 (PBE)

Data for KIrRh2 after structural relaxation.

Output
Theoretical density (g/cm³): 10.475
Calculated volume (Å³ per atom): 17.3
M_tot (μB per formula unit): 3.4
E_form (meV/atom): 990

Cell lengths 6.520, 6.520, 6.520 Å; angles 90.00, 90.00, 90.00 degrees
Space group Fm-3m (No. 225)
Unique sites:
K  0.000  0.000  0.000
Ir  0.000  0.000  0.500
Rh  0.250  0.250  0.250

## KIrRh2 (PBE)

Data for KIrRh2 after structural relaxation.

Output
Theoretical density (g/cm³): 9.213
Calculated volume (Å³ per atom): 19.7
M_tot (μB per formula unit): 0.0
E_form (meV/atom): 463

Cell lengths 2.762, 3.636, 7.843 Å; angles 90.00, 90.20, 90.00 degrees
Space group P2/m (No. 10)
Unique sites:
K  0.000  0.000  0.000
Ir  0.000  0.000  0.500
Rh  0.498  0.500  0.328